(1)
Computed, not measured: a relaxed Ho8TmSc6 crystal at the PBE level of DFT.

a b c (Å): 9.3453 9.3453 17.1221
angles (deg): 90.00 90.00 120.00
Space group R-3 (No. 148, hexagonal axes)
Unique sites:
1 Ho 0.0000 0.0000 0.0921 x6
2 Ho 0.0538 0.2407 0.6746 x18
3 Tm 0.0000 0.0000 0.5000 x3
4 Sc 0.0304 0.2951 0.1795 x18

Results
energy relative to the lowest polymorph listed for this composition	0	meV/atom
formation energy from the elements	0.19	eV per atom

(2)
Computed, not measured: a relaxed SmCu2PS crystal at the PBE level of DFT.

a b c (Å): 3.7502 12.2892 7.7645
angles (deg): 90.00 90.00 90.00
Space group Cmcm (No. 63)
Unique sites:
1 Sm 0.0000 0.0683 0.2500 x4
2 Cu 0.0000 0.3203 0.0770 x8
3 P 0.0000 0.5000 0.0000 x4
4 S 0.0000 0.2450 0.7500 x4

Results
ΔE_f (raw)	-0.6863	eV/atom

(3)
Computed, not measured: a relaxed TcRuO2F crystal at the PBE level of DFT.

a b c (Å): 3.6930 3.6930 5.5308
angles (deg): 90.00 90.00 90.00
Space group P4/mmm (No. 123)
Unique sites:
1 Tc 0.0000 0.0000 0.0000 x1
2 Ru 0.0000 0.0000 0.5000 x1
3 O 0.0000 0.5000 0.5000 x2
4 F 0.5000 0.5000 0.0000 x1

Results
ΔE_f (raw)	-0.3146	eV/atom

(4)
Computed, not measured: a relaxed Sc2ReB crystal at the PBE level of DFT.

a b c (Å): 5.6289 7.8822 3.1290
angles (deg): 90.00 111.82 90.00
Space group Cm (No. 8)
Unique sites:
1 Sc 0.0000 0.1835 0.0000 x4
2 Re 0.4361 0.0000 0.6397 x2
3 B 0.2023 0.5000 0.3061 x2

Results
formation energy from the elements	-0.17	eV per atom

(5)
Computed, not measured: a relaxed Sc3CoPb crystal at the PBE level of DFT.

a b c (Å): 4.8360 4.8360 4.8360
angles (deg): 90.00 90.00 90.00
Space group Pm-3m (No. 221)
Unique sites:
1 Sc 0.0000 0.0000 0.5000 x3
2 Co 0.0000 0.0000 0.0000 x1
3 Pb 0.5000 0.5000 0.5000 x1

Results
energy relative to the lowest polymorph listed for this composition	122	meV/atom
formation energy from the elements	-0.24	eV per atom

(6)
Computed, not measured: a relaxed Na3Pu3SiS8 crystal at the PBE level of DFT.

a b c (Å): 13.6532 7.8889 8.0582
angles (deg): 90.00 124.42 90.00
Space group C2/m (No. 12)
Unique sites:
1 Na 0.0000 0.0000 0.0000 x2
2 Na 0.2500 0.2500 0.0000 x4
3 Pu 0.0000 0.5000 0.5000 x2
4 Pu 0.2500 0.2500 0.5000 x4
5 Si 0.0000 0.0000 0.5000 x2
6 S 0.0059 0.2192 0.2989 x8
7 S 0.2134 0.0000 0.7016 x4
8 S 0.2426 0.5000 0.7274 x4

Results
ΔE_f (raw)	-1.2846	eV/atom

Here are the calculated total magnetic moment numbers, same order: 0.00 0.00 4.46 0.00 0.00 29.77 (μB/cell).
Here are the calculated density of states at the Fermi level numbers, same order: 70.8 1.3 2.8 7.8 7.4 52.0 (states/eV/cell).
Here are the calculated energy numbers, same order: -5.08 -5.18 -6.60 -8.12 -6.20 -6.98 (eV/atom).